# 1
The following is a DFT calculation (PBE-GGA) of an optimized crystal structure of Nd2Ga2Te.

The space group is R-3m (No. 166, hexagonal axes) and the conventional cell measures 4.3186, 4.3186 and 24.6422 Å, with angles of 90.00, 90.00 and 120.00 degrees. The asymmetric unit holds Nd at (0.0000, 0.0000, 0.0855), Ga at (0.0000, 0.0000, 0.3217) and Te at (0.0000, 0.0000, 0.5000).

The raw formation energy comes out at -1.0469 eV per atom. The value obtained for the calculated volume is 26.5 Å³/atom. The total magnetic moment comes out at 0.000 μB/atom. The density of states at the Fermi level comes out at 0.295 states/eV per atom.

---

# 2
The following is a DFT calculation (PBE-GGA) of an optimized crystal structure of CrSnAsBr2.

The space group is P4/mmm (No. 123) and the conventional cell measures 4.992, 4.992 and 5.179 Å, with angles of 90.00, 90.00 and 90.00 degrees. The asymmetric unit holds Cr at (0.000, 0.000, 0.000), Sn at (0.500, 0.500, 0.500), As at (0.000, 0.000, 0.500) and Br at (0.000, 0.500, 0.000).

The raw formation energy comes out at 0.0118 eV per atom. The value obtained for the calculated volume is 25.8 Å³/atom. The total magnetic moment comes out at 0.608 μB/atom. The density of states at the Fermi level comes out at 0.526 states/eV per atom. As for the offset from the most stable computed form: 0 meV/atom.

---

# 3
The following is a DFT calculation (PBE-GGA) of an optimized crystal structure of RbGa2Os.

The space group is Fm-3m (No. 225) and the conventional cell measures 6.890, 6.890 and 6.890 Å, with angles of 90.00, 90.00 and 90.00 degrees. The asymmetric unit holds Rb at (0.000, 0.000, 0.000), Ga at (0.250, 0.250, 0.250) and Os at (0.000, 0.000, 0.500).

The value obtained for the calculated volume is 20.4 Å³/atom. The total magnetic moment comes out at 0.000 μB/atom. The density of states at the Fermi level comes out at 1.060 states/eV per atom. As for the offset from the most stable computed form: 651 meV/atom.

---

# 4
The following is a DFT calculation (PBE-GGA) of an optimized crystal structure of HgPt2C.

The space group is Fm-3m (No. 225) and the conventional cell measures 6.300, 6.300 and 6.300 Å, with angles of 90.00, 90.00 and 90.00 degrees. The asymmetric unit holds Hg at (0.000, 0.000, 0.000), Pt at (0.250, 0.250, 0.250) and C at (0.000, 0.000, 0.500).

The value obtained for the calculated volume is 15.6 Å³/atom. The total magnetic moment comes out at 0.000 μB/atom. The density of states at the Fermi level comes out at 0.495 states/eV per atom. As for the offset from the most stable computed form: 1026 meV/atom.

---

# 5
The following is a DFT calculation (PBE-GGA) of an optimized crystal structure of Li2CaOs.

The space group is Pmmm (No. 47) and the conventional cell measures 2.673, 4.568 and 5.776 Å, with angles of 90.00, 90.00 and 90.00 degrees. The asymmetric unit holds Li at (0.000, 0.000, 0.191), Ca at (0.500, 0.500, 0.500) and Os at (0.500, 0.500, 0.000).

The value obtained for the calculated volume is 17.6 Å³/atom. The total magnetic moment comes out at 0.000 μB/atom. The density of states at the Fermi level comes out at 0.695 states/eV per atom. As for the offset from the most stable computed form: 83 meV/atom.

---

# 6
The following is a DFT calculation (PBE-GGA) of an optimized crystal structure of SrLi2Cu4.

The space group is C2/m (No. 12) and the conventional cell measures 8.391, 6.862 and 5.061 Å, with angles of 90.00, 125.31 and 90.00 degrees. The asymmetric unit holds Sr at (0.000, 0.000, 0.000), Li at (0.012, 0.500, 0.761) and Cu at (0.186, 0.186, 0.670).

The calculation puts the electronic total energy at -43.7 eV for the cell shown. The value obtained for the calculated volume is 17.0 Å³/atom. The total magnetic moment comes out at 0.000 μB/atom. The density of states at the Fermi level comes out at 0.414 states/eV per atom.

---

# 7
The following is a DFT calculation (PBE-GGA) of an optimized crystal structure of KSrTeI2.

The space group is P4/mmm (No. 123) and the conventional cell measures 6.176, 6.176 and 6.268 Å, with angles of 90.00, 90.00 and 90.00 degrees. The asymmetric unit holds K at (0.000, 0.000, 0.000), Sr at (0.500, 0.500, 0.500), Te at (0.000, 0.000, 0.500) and I at (0.000, 0.500, 0.000).

The raw formation energy comes out at -0.6313 eV per atom. The value obtained for the calculated volume is 47.8 Å³/atom. The total magnetic moment comes out at 0.207 μB/atom. The density of states at the Fermi level comes out at 0.820 states/eV per atom. As for the offset from the most stable computed form: 471 meV/atom.

---

# 8
The following is a DFT calculation (PBE-GGA) of an optimized crystal structure of Ac2SmTeO8.

The space group is P2/m (No. 10) and the conventional cell measures 4.502, 7.383 and 5.670 Å, with angles of 90.00, 94.58 and 90.00 degrees. The asymmetric unit holds Ac at (0.000, 0.244, 0.000), Sm at (0.500, 0.500, 0.500), Te at (0.500, 0.000, 0.500), O at (0.071, 0.500, 0.252), O at (0.102, 0.000, 0.339) and O at (0.434, 0.201, 0.725).

The raw formation energy comes out at -2.3782 eV per atom. The value obtained for the calculated volume is 15.7 Å³/atom. The total magnetic moment comes out at 0.086 μB/atom.

---

Number 1: theoretical density 6.954 g/cm³. Number 2: theoretical density 5.217 g/cm³. Number 3: theoretical density 8.430 g/cm³. Number 4: theoretical density 16.008 g/cm³. Number 5: theoretical density 5.750 g/cm³. Number 6: theoretical density 4.967 g/cm³. Number 7: theoretical density 3.530 g/cm³. Number 8: theoretical density 7.602 g/cm³.